# CaZnIn3

A geometry-optimized CaZnIn3 structure (PBE-GGA, the Alexandria database).

Calculated values
The density of states at the Fermi level comes out at 1.859 states/eV/cell. Its formation energy is 0.033 eV/atom. The calculation puts the volume at 29.18 A^3/atom.

Unit cell a=5.264 b=5.264 c=5.264 alpha=90.00 beta=90.00 gamma=90.00
Space group Pm-3m (No. 221)
Inequivalent atoms, fractional coordinates:
Ca 0.000 0.000 0.000 [1 per cell]
Zn 0.500 0.500 0.500 [1 per cell]
In 0.000 0.500 0.500 [3 per cell]